<one>
Here is an optimized crystal structure of InAg8Au2 from Alexandria. Energies are from PBE-GGA.

Summary:
**M_tot**: 0.0 μB/cell
**Fermi-level density of states**: 7.40 states/eV/cell

a = 15.062 Å, b = 4.200 Å, c = 6.584 Å
α = 90.00°, β = 105.02°, γ = 90.00°
Space group C2/m (No. 12)
Symmetry-distinct sites (fractional):
In 0.000 0.000 0.000 (multiplicity 2)
Ag 0.047 0.500 0.725 (multiplicity 4)
Ag 0.092 0.000 0.457 (multiplicity 4)
Ag 0.138 0.500 0.186 (multiplicity 4)
Ag 0.183 0.000 0.910 (multiplicity 4)
Au 0.227 0.500 0.637 (multiplicity 4)

---

<two>
Here is an optimized crystal structure of InAg8Au2 from Alexandria. Energies are from PBE-GGA.

Summary:
**M_tot**: 0.0 μB/cell
**Fermi-level density of states**: 3.64 states/eV/cell

a = 12.640 Å, b = 7.621 Å, c = 4.893 Å
α = 90.00°, β = 103.14°, γ = 90.00°
Space group C2/m (No. 12)
Symmetry-distinct sites (fractional):
In 0.000 0.000 0.000 (multiplicity 2)
Ag 0.068 0.317 0.787 (multiplicity 8)
Ag 0.144 0.500 0.329 (multiplicity 4)
Ag 0.232 0.000 0.106 (multiplicity 4)
Au 0.124 0.000 0.545 (multiplicity 4)

---

Winner for stability: <one>

---

<one>
Here is an optimized crystal structure of InAg3Au from Alexandria. Energies are from PBE-GGA.

Summary:
**M_tot**: 0.0 μB/cell
**Fermi-level density of states**: 1.59 states/eV/cell

a = 5.199 Å, b = 5.199 Å, c = 5.199 Å
α = 90.00°, β = 90.00°, γ = 90.00°
Space group Pm-3m (No. 221)
Symmetry-distinct sites (fractional):
In 0.000 0.000 0.000 (multiplicity 1)
Ag 0.000 0.500 0.500 (multiplicity 3)
Au 0.500 0.500 0.500 (multiplicity 1)

---

<two>
Here is an optimized crystal structure of InAg3Au from Alexandria. Energies are from PBE-GGA.

Summary:
**M_tot**: 0.0 μB/cell
**Fermi-level density of states**: 5.05 states/eV/cell

a = 9.840 Å, b = 7.748 Å, c = 5.733 Å
α = 90.00°, β = 90.00°, γ = 90.00°
Space group Ima2 (No. 46)
Symmetry-distinct sites (fractional):
In 0.250 0.061 0.000 (multiplicity 4)
Ag 0.030 0.247 0.750 (multiplicity 8)
Ag 0.250 0.067 0.499 (multiplicity 4)
Au 0.250 0.750 0.249 (multiplicity 4)

---

Winner for stability: <two>